Compound: YCd2Te
Source: the Alexandria database
Functional: PBE
Structure: relaxed

## Properties
Formation energy from raw total energies (eV per atom): -0.147
Uncorrected energy (eV/atom): -3.01
Spin magnetization (μB per atom): 0.000
N(E_F) (states/eV/cell): 1.9
Space-group type: No. 166

Geometry as POSCAR:
```
YCd2Te
1.0
2.1166 1.2220 7.7033
-2.1166 1.2220 7.7033
0.0000 -2.4441 7.7033
Y Cd Te
1 2 1
Direct
0.0000 0.0000 0.0000
0.2444 0.2444 0.2444
0.7556 0.7556 0.7556
0.5000 0.5000 0.5000
```